A geometry-optimized KNiF3 structure, computed with GGA+U.

Results
E_tot (eV for the cell shown): -84.9
SG: Fd-3m (227)
Spin magnetization (μB/f.u.): 2.000

abc: 7.536 7.536 7.536
angles: 60.00 60.00 60.00
Sites, in units of the cell vectors:
K: 0.000 0.000 0.000
K: 0.000 0.000 0.500
K: 0.000 0.500 0.000
K: 0.500 0.000 0.000
Ni: 0.000 0.500 0.500
Ni: 0.500 0.000 0.500
Ni: 0.500 0.500 0.000
Ni: 0.500 0.500 0.500
F: 0.176 0.176 0.574
F: 0.176 0.574 0.176
F: 0.176 0.574 0.574
F: 0.426 0.426 0.824
F: 0.426 0.824 0.426
F: 0.426 0.824 0.824
F: 0.574 0.176 0.176
F: 0.574 0.176 0.574
F: 0.574 0.574 0.176
F: 0.824 0.426 0.426
F: 0.824 0.426 0.824
F: 0.824 0.824 0.426